Entry 1:
# BaTl3 (meta-GGA SCAN, single point on PBEsol structure)
data_BaTl3
_symmetry_space_group_name_H-M 'P 1'
_symmetry_Int_Tables_number 1
_symmetry_space_group_name_Hall 'P 1'
_cell_length_a 4.0760
_cell_length_b 5.1811
_cell_length_c 6.1612
_cell_angle_alpha 90.00
_cell_angle_beta 90.00
_cell_angle_gamma 90.00
loop_
_atom_site_label
_atom_site_type_symbol
_atom_site_fract_x
_atom_site_fract_y
_atom_site_fract_z
Tl1 Tl 0.5000 0.5000 0.8044
Tl2 Tl 0.5000 0.0000 0.4860
Tl3 Tl 0.0000 0.5000 0.3859
Ba1 Ba 0.0000 0.0000 0.9904
# - V: 130.1 Å³ per cell
# - Formation enthalpy at 0 K: -0.332 eV/atom
# - E_tot: -257.954 eV per cell
# - Crystal system: orthorhombic
# - DOS at the Fermi energy: 0.5351 states/eV/atom



Entry 2:
# LiRu3 (meta-GGA SCAN, single point on PBEsol structure)
data_LiRu3
_symmetry_space_group_name_H-M 'P 1'
_symmetry_Int_Tables_number 1
_symmetry_space_group_name_Hall 'P 1'
_cell_length_a 2.6016
_cell_length_b 2.6016
_cell_length_c 9.0113
_cell_angle_alpha 90.00
_cell_angle_beta 90.00
_cell_angle_gamma 117.06
loop_
_atom_site_label
_atom_site_type_symbol
_atom_site_fract_x
_atom_site_fract_y
_atom_site_fract_z
Ru1 Ru 0.5000 0.5000 0.2529
Ru2 Ru 0.0000 0.0000 0.5000
Ru3 Ru 0.5000 0.5000 0.7471
Li1 Li 0.0000 0.0000 0.0000
# - V: 54.3 Å³ per cell
# - Formation enthalpy at 0 K: 0.367 eV/atom
# - E_tot: -105.399 eV per cell
# - Crystal system: orthorhombic
# - DOS at the Fermi energy: 0.8959 states/eV/atom



Entry 3:
# Hg2OsI (meta-GGA SCAN, single point on PBEsol structure)
data_Hg2OsI
_symmetry_space_group_name_H-M 'P 1'
_symmetry_Int_Tables_number 1
_symmetry_space_group_name_Hall 'P 1'
_cell_length_a 4.9331
_cell_length_b 4.9331
_cell_length_c 4.9331
_cell_angle_alpha 60.00
_cell_angle_beta 60.00
_cell_angle_gamma 60.00
loop_
_atom_site_label
_atom_site_type_symbol
_atom_site_fract_x
_atom_site_fract_y
_atom_site_fract_z
Hg1 Hg 0.2500 0.2500 0.2500
Hg2 Hg 0.7500 0.7500 0.7500
Os1 Os 0.5000 0.5000 0.5000
I1 I 0.0000 0.0000 0.0000
# - V: 84.9 Å³ per cell
# - E_tot: -238.828 eV per cell
# - Crystal system: cubic
# - ΔE_f (raw): 1.53 eV per atom
# - DOS at the Fermi energy: 0.8018 states/eV/atom



Entry 4:
# Sc3Ni2 (meta-GGA SCAN, single point on PBEsol structure)
data_Sc3Ni2
_symmetry_space_group_name_H-M 'P 1'
_symmetry_Int_Tables_number 1
_symmetry_space_group_name_Hall 'P 1'
_cell_length_a 4.3693
_cell_length_b 4.3693
_cell_length_c 5.3782
_cell_angle_alpha 90.00
_cell_angle_beta 90.00
_cell_angle_gamma 120.00
loop_
_atom_site_label
_atom_site_type_symbol
_atom_site_fract_x
_atom_site_fract_y
_atom_site_fract_z
Sc1 Sc 0.0000 0.0000 0.0000
Sc2 Sc 0.3333 0.6667 0.3376
Sc3 Sc 0.6667 0.3333 0.6624
Ni1 Ni 0.3333 0.6667 0.8491
Ni2 Ni 0.6667 0.3333 0.1509
# - V: 88.9 Å³ per cell
# - Formation enthalpy at 0 K: -0.396 eV/atom
# - E_tot: -77.040 eV per cell
# - Crystal system: trigonal
# - DOS at the Fermi energy: 0.5200 states/eV/atom



Entry 5:
# Mg2AsO5 (meta-GGA SCAN, single point on PBEsol structure)
data_Mg2AsO5
_symmetry_space_group_name_H-M 'P 1'
_symmetry_Int_Tables_number 1
_symmetry_space_group_name_Hall 'P 1'
_cell_length_a 6.1458
_cell_length_b 8.2383
_cell_length_c 8.3936
_cell_angle_alpha 90.00
_cell_angle_beta 90.00
_cell_angle_gamma 90.00
loop_
_atom_site_label
_atom_site_type_symbol
_atom_site_fract_x
_atom_site_fract_y
_atom_site_fract_z
Mg1 Mg 0.2532 0.5000 0.5000
Mg2 Mg 0.5000 0.1259 0.6463
Mg3 Mg 0.7468 0.5000 0.5000
Mg4 Mg 0.0000 0.3741 0.1463
Mg5 Mg 0.2468 0.0000 0.0000
Mg6 Mg 0.0000 0.6259 0.8537
Mg7 Mg 0.5000 0.8741 0.3537
Mg8 Mg 0.7532 0.0000 0.0000
O1 O 0.0000 0.3550 0.5840
O2 O 0.2751 0.6210 0.7250
O3 O 0.7751 0.8790 0.2250
O4 O 0.2249 0.1210 0.7750
O5 O 0.2249 0.8790 0.2250
O6 O 0.5000 0.1450 0.0840
O7 O 0.5000 0.6454 0.4210
O8 O 0.0000 0.6167 0.0956
O9 O 0.5000 0.1167 0.4044
O10 O 0.5000 0.8833 0.5956
O11 O 0.0000 0.8546 0.9210
O12 O 0.0000 0.6450 0.4160
O13 O 0.7249 0.6210 0.7250
O14 O 0.2751 0.3790 0.2750
O15 O 0.7751 0.1210 0.7750
O16 O 0.0000 0.3833 0.9044
O17 O 0.5000 0.3546 0.5790
O18 O 0.7249 0.3790 0.2750
O19 O 0.0000 0.1454 0.0790
O20 O 0.5000 0.8550 0.9160
As1 As 0.0000 0.7581 0.2449
As2 As 0.0000 0.2419 0.7551
As3 As 0.5000 0.7419 0.7449
As4 As 0.5000 0.2581 0.2551
# - V: 425.0 Å³ per cell
# - E_tot: -312.653 eV per cell
# - Crystal system: orthorhombic
# - ΔE_f (raw): -2.11 eV per atom
# - DOS at the Fermi energy: 0.0000 states/eV/atom



Entry 6:
# MnPt2W (meta-GGA SCAN, single point on PBEsol structure)
data_MnPt2W
_symmetry_space_group_name_H-M 'P 1'
_symmetry_Int_Tables_number 1
_symmetry_space_group_name_Hall 'P 1'
_cell_length_a 2.7242
_cell_length_b 3.9284
_cell_length_c 5.3653
_cell_angle_alpha 90.00
_cell_angle_beta 90.00
_cell_angle_gamma 90.00
loop_
_atom_site_label
_atom_site_type_symbol
_atom_site_fract_x
_atom_site_fract_y
_atom_site_fract_z
Pt1 Pt 0.0000 0.0000 0.2512
Pt2 Pt 0.0000 0.0000 0.7488
W1 W 0.5000 0.5000 0.0000
Mn1 Mn 0.5000 0.5000 0.5000
# - V: 57.4 Å³ per cell
# - Formation enthalpy at 0 K: -0.490 eV/atom
# - E_tot: -230.289 eV per cell
# - Crystal system: orthorhombic
# - DOS at the Fermi energy: 0.5260 states/eV/atom



Entry 7:
# HgSe4Cl (meta-GGA SCAN, single point on PBEsol structure)
data_HgSe4Cl
_symmetry_space_group_name_H-M 'P 1'
_symmetry_Int_Tables_number 1
_symmetry_space_group_name_Hall 'P 1'
_cell_length_a 5.6364
_cell_length_b 5.6364
_cell_length_c 5.6364
_cell_angle_alpha 60.00
_cell_angle_beta 60.00
_cell_angle_gamma 60.00
loop_
_atom_site_label
_atom_site_type_symbol
_atom_site_fract_x
_atom_site_fract_y
_atom_site_fract_z
Se1 Se 0.3727 0.3727 0.3727
Se2 Se 0.3727 0.3727 0.8818
Se3 Se 0.8818 0.3727 0.3727
Se4 Se 0.3727 0.8818 0.3727
Hg1 Hg 0.0000 0.0000 0.0000
Cl1 Cl 0.7500 0.7500 0.7500
# - V: 126.6 Å³ per cell
# - E_tot: -153.885 eV per cell
# - Crystal system: cubic
# - ΔE_f (raw): 0.43 eV per atom
# - DOS at the Fermi energy: 0.5836 states/eV/atom



Entry 8:
# BaSr5 (meta-GGA SCAN, single point on PBEsol structure)
data_BaSr5
_symmetry_space_group_name_H-M 'P 1'
_symmetry_Int_Tables_number 1
_symmetry_space_group_name_Hall 'P 1'
_cell_length_a 4.2007
_cell_length_b 8.1008
_cell_length_c 10.0486
_cell_angle_alpha 105.12
_cell_angle_beta 90.00
_cell_angle_gamma 105.03
loop_
_atom_site_label
_atom_site_type_symbol
_atom_site_fract_x
_atom_site_fract_y
_atom_site_fract_z
Sr1 Sr 0.3324 0.6648 0.6644
Sr2 Sr 0.6119 0.2238 0.7203
Sr3 Sr 0.9442 0.8885 0.3896
Sr4 Sr 0.2765 0.5529 0.0555
Sr5 Sr 0.6679 0.3357 0.3359
Ba1 Ba 0.0005 0.0010 0.0010
# - V: 318.0 Å³ per cell
# - Formation enthalpy at 0 K: -0.010 eV/atom
# - E_tot: -150.984 eV per cell
# - Crystal system: monoclinic
# - DOS at the Fermi energy: 0.7139 states/eV/atom



What is the E_tot in the second record?
-105.399 eV per cell



What is the DOS at the Fermi energy in the second record?
0.8959 states/eV/atom



Among the records above, which one has the highest E_tot?
Sc3Ni2



What is the formula in the fifth record?
Mg2AsO5